The following is a DFT calculation (PBEsol) of a relaxed structure of CaYCoAg2.

Lattice parameters (Å, degrees): 5.048 5.048 4.599 90.00 90.00 90.00
Space group P4/mmm (No. 123)
Symmetry-distinct sites (fractional):
Ca (0.000, 0.000, 0.000)
Y (0.500, 0.500, 0.500)
Co (0.000, 0.000, 0.500)
Ag (0.000, 0.500, 0.000)

Output
energy: -19.1 eV for the cell shown
M_tot: 1.1 μB per formula unit
formation enthalpy at 0 K: 0.833 eV per atom
calculated volume: 23.44 A^3/atom
Fermi-level density of states: 4.36 states/eV/cell

***

The following is a DFT calculation (PBEsol) of a relaxed structure of Li4TiCo5O12.

Lattice parameters (Å, degrees): 19.283 8.363 4.837 90.00 94.80 90.00
Space group C2/m (No. 12)
Symmetry-distinct sites (fractional):
Li (0.121, 0.166, 0.208)
Li (0.121, 0.334, 0.708)
Ti (0.250, 0.000, 0.749)
Co (0.000, 0.000, 0.000)
Co (0.000, 0.164, 0.500)
Co (0.000, 0.336, 0.000)
Co (0.000, 0.500, 0.500)
Co (0.250, 0.167, 0.250)
O (0.050, 0.169, 0.853)
O (0.050, 0.331, 0.353)
O (0.052, 0.000, 0.344)
O (0.052, 0.500, 0.844)
O (0.195, 0.000, 0.078)
O (0.195, 0.173, 0.558)
O (0.195, 0.327, 0.058)
O (0.195, 0.500, 0.578)

Output
energy: -617.0 eV for the cell shown
M_tot: 1.1 μB per formula unit
calculated volume: 8.83 A^3/atom
Fermi-level density of states: 54.48 states/eV/cell
formation energy (no corrections): -1.65 eV/atom

***

The following is a DFT calculation (PBEsol) of a relaxed structure of SrMo2Pt.

Lattice parameters (Å, degrees): 2.744 2.744 9.566 90.00 90.00 90.00
Space group P4/mmm (No. 123)
Symmetry-distinct sites (fractional):
Sr (0.000, 0.000, 0.000)
Mo (0.500, 0.500, 0.289)
Pt (0.000, 0.000, 0.500)

Output
energy: -30.0 eV for the cell shown
polymorph energy (0 for the lowest one): 75 kJ/mol of formula units
M_tot: 0.0 μB per formula unit
formation enthalpy at 0 K: 0.578 eV per atom
calculated volume: 18.00 A^3/atom
Fermi-level density of states: 3.22 states/eV/cell